First-principles (PBE) data for an optimized crystal structure of Pm4TeRu2, as listed in Alexandria via LeMat-Bulk.

## Properties
total magnetic moment = 0.00 μB per cell
ρ = 7.8 Mg/m³
raw formation energy = -0.44 eV per atom

a b c (Å): 9.520 12.933 7.134
angles (deg): 90.00 118.78 90.00
Space group Cc (No. 9)
Asymmetric unit:
Pm 0.000 0.006 0.000 [4 per cell]
Pm 0.014 0.429 0.321 [4 per cell]
Pm 0.209 0.236 0.721 [4 per cell]
Pm 0.330 0.186 0.320 [4 per cell]
Te 0.226 0.392 0.076 [4 per cell]
Ru 0.014 0.192 0.275 [4 per cell]
Ru 0.270 0.019 0.942 [4 per cell]

=====

First-principles (PBE) data for an optimized crystal structure of Pm7Te2Ru2, as listed in Alexandria via LeMat-Bulk.

## Properties
total magnetic moment = 0.00 μB per cell
ρ = 7.8 Mg/m³
raw formation energy = -0.55 eV per atom

a b c (Å): 4.162 15.212 9.961
angles (deg): 90.00 90.00 90.00
Space group Imm2 (No. 44)
Asymmetric unit:
Pm 0.000 0.000 0.000 [2 per cell]
Pm 0.000 0.105 0.587 [4 per cell]
Pm 0.000 0.329 0.350 [4 per cell]
Pm 0.000 0.380 0.777 [4 per cell]
Te 0.000 0.228 0.069 [4 per cell]
Ru 0.000 0.000 0.341 [2 per cell]
Ru 0.000 0.500 0.274 [2 per cell]

=====

First-principles (PBE) data for an optimized crystal structure of Pm4Te3Ru, as listed in Alexandria via LeMat-Bulk.

## Properties
total magnetic moment = 0.00 μB per cell
distance to the lowest polymorph of the same formula = 0.0 meV/atom
ρ = 7.2 Mg/m³
raw formation energy = -1.08 eV per atom

a b c (Å): 9.097 12.544 4.305
angles (deg): 90.00 90.00 90.00
Space group Cmmm (No. 65)
Asymmetric unit:
Pm 0.000 0.220 0.000 [4 per cell]
Pm 0.220 0.000 0.500 [4 per cell]
Te 0.000 0.500 0.000 [2 per cell]
Te 0.250 0.250 0.500 [4 per cell]
Ru 0.000 0.000 0.000 [2 per cell]

=====

First-principles (PBE) data for an optimized crystal structure of Pm8Te2Ru3, as listed in Alexandria via LeMat-Bulk.

## Properties
total magnetic moment = 0.00 μB per cell
ρ = 7.5 Mg/m³
raw formation energy = -0.49 eV per atom

a b c (Å): 9.218 4.940 9.227
angles (deg): 90.00 114.43 90.00
Space group P2/m (No. 10)
Asymmetric unit:
Pm 0.106 0.000 0.394 [2 per cell]
Pm 0.147 0.500 0.863 [2 per cell]
Pm 0.363 0.500 0.647 [2 per cell]
Pm 0.390 0.000 0.110 [2 per cell]
Te 0.244 0.500 0.257 [2 per cell]
Ru 0.252 0.000 0.753 [2 per cell]
Ru 0.500 0.500 0.000 [1 per cell]

=====

First-principles (PBE) data for an optimized crystal structure of Pm4Te3Ru, as listed in Alexandria via LeMat-Bulk.

## Properties
total magnetic moment = 0.00 μB per cell
distance to the lowest polymorph of the same formula = 222.1 meV/atom
ρ = 6.0 Mg/m³
raw formation energy = -0.86 eV per atom

a b c (Å): 6.301 10.192 9.229
angles (deg): 90.00 90.00 90.00
Space group Pmmn (No. 59, origin choice 2)
Asymmetric unit:
Pm 0.250 0.037 0.189 [4 per cell]
Pm 0.250 0.250 0.620 [2 per cell]
Pm 0.250 0.750 0.662 [2 per cell]
Te 0.250 0.011 0.843 [4 per cell]
Te 0.250 0.750 0.325 [2 per cell]
Ru 0.250 0.250 0.341 [2 per cell]

=====

First-principles (PBE) data for an optimized crystal structure of Pm2Th2Ru3, as listed in Alexandria via LeMat-Bulk.

## Properties
total magnetic moment = 0.00 μB per cell
distance to the lowest polymorph of the same formula = 69.8 meV/atom
ρ = 9.4 Mg/m³
ΔE_f = -0.27 eV per atom

a b c (Å): 13.075 4.043 7.135
angles (deg): 90.00 99.30 90.00
Space group C2/m (No. 12)
Asymmetric unit:
Pm 0.128 0.000 0.362 [4 per cell]
Th 0.131 0.500 0.894 [4 per cell]
Ru 0.000 0.000 0.000 [2 per cell]
Ru 0.231 0.000 0.739 [4 per cell]